Compound: TlH2Au
Source: Alexandria
Functional: PBE
Structure: relaxed

a b c (Å): 5.668 5.668 7.985
angles (deg): 90.00 90.00 90.00
Space group I-42d (No. 122)
Symmetry-distinct sites (fractional):
Tl  0.000  0.000  0.000 x4
H  0.081  0.250  0.625 x8
Au  0.000  0.000  0.500 x4

- relative energy among the computed polymorphs (meV per atom) = 148